Below is a relaxed structure of SrY2As, with properties calculated at the PBE level.

Calculated values
- Density: 5.1 Mg/m³
- DFT total energy: -5.044 eV/atom
- D(E_F): 5.611 states/eV/f.u.
- DFT formation energy: -228.7 meV per atom
- V: 27.9 A^3/atom
- Magnetic moment: 0.001 μB/atom

a b c (Å): 4.768 4.793 4.879
angles (deg): 90.00 90.00 90.00
Sites, in units of the cell vectors:
Y (0.000, 0.000, 0.000)
Y (0.500, 0.500, 0.000)
Sr (0.000, 0.500, 0.500)
As (0.500, 0.000, 0.500)

***

Below is a relaxed structure of CoAgBr2, with properties calculated at the PBE level.

Calculated values
- Density: 6.6 Mg/m³
- DFT total energy: -2.944 eV/atom
- D(E_F): 4.883 states/eV/f.u.
- V: 20.7 A^3/atom
- Magnetic moment: 0.514 μB/atom

a b c (Å): 3.426 4.916 4.916
angles (deg): 90.00 90.00 90.00
Sites, in units of the cell vectors:
Ag (0.500, 0.000, 0.500)
Br (0.000, 0.000, 0.000)
Br (0.000, 0.500, 0.500)
Co (0.500, 0.500, 0.000)

***

Below is a relaxed structure of Ca8TlGa2, with properties calculated at the PBE level.

Calculated values
- Density: 3.2 Mg/m³
- DFT total energy: -2.457 eV/atom
- D(E_F): 4.655 states/eV/f.u.
- DFT formation energy: -235.9 meV per atom
- V: 31.4 A^3/atom
- Magnetic moment: 0.000 μB/atom

a b c (Å): 5.243 8.350 9.312
angles (deg): 116.64 106.35 90.00
Sites, in units of the cell vectors:
Ca (0.661, 0.880, 0.323)
Ca (0.339, 0.557, 0.677)
Ca (0.148, 0.148, 0.296)
Ca (0.000, 0.305, 0.000)
Ca (0.852, 0.852, 0.704)
Ca (0.661, 0.443, 0.323)
Ca (0.339, 0.120, 0.677)
Ca (0.000, 0.695, 0.000)
Tl (0.500, 0.000, 0.000)
Ga (0.186, 0.686, 0.371)
Ga (0.814, 0.314, 0.629)

***

Below is a relaxed structure of CaGeAu3, with properties calculated at the PBE level.

Calculated values
- Density: 11.4 Mg/m³
- DFT total energy: -3.733 eV/atom
- D(E_F): 1.952 states/eV/f.u.
- DFT formation energy: -442.6 meV per atom
- V: 20.6 A^3/atom
- Magnetic moment: 0.000 μB/atom

a b c (Å): 4.864 9.285 9.111
angles (deg): 90.00 90.00 90.00
Sites, in units of the cell vectors:
Ca (0.750, 0.767, 0.992)
Ca (0.250, 0.733, 0.492)
Ca (0.750, 0.267, 0.508)
Ca (0.250, 0.233, 0.008)
Ge (0.250, 0.126, 0.675)
Ge (0.250, 0.626, 0.825)
Ge (0.750, 0.374, 0.175)
Ge (0.750, 0.874, 0.325)
Au (0.250, 0.581, 0.101)
Au (0.750, 0.419, 0.899)
Au (0.250, 0.081, 0.399)
Au (0.750, 0.919, 0.601)
Au (0.250, 0.405, 0.661)
Au (0.750, 0.095, 0.161)
Au (0.250, 0.905, 0.839)
Au (0.750, 0.608, 0.662)
Au (0.250, 0.392, 0.338)
Au (0.750, 0.108, 0.838)
Au (0.750, 0.595, 0.339)
Au (0.250, 0.892, 0.162)

***

Below is a relaxed structure of Ca2MoIrRu, with properties calculated at the PBE level.

Calculated values
- Density: 6.2 Mg/m³
- DFT total energy: -5.167 eV/atom
- D(E_F): 6.551 states/eV/f.u.
- DFT formation energy: 1427.2 meV per atom
- V: 25.3 A^3/atom
- Magnetic moment: 0.328 μB/atom

a b c (Å): 5.304 4.488 5.304
angles (deg): 90.00 90.00 90.00
Sites, in units of the cell vectors:
Ru (0.000, 0.500, 0.000)
Mo (0.000, 0.000, 0.000)
Ir (0.500, 0.500, 0.500)
Ca (0.000, 0.000, 0.500)
Ca (0.500, 0.000, 0.000)

***

Below is a relaxed structure of MnGaSi2, with properties calculated at the PBE level.

Calculated values
- Density: 5.3 Mg/m³
- DFT total energy: -5.404 eV/atom
- D(E_F): 1.684 states/eV/f.u.
- V: 14.2 A^3/atom
- Magnetic moment: 0.494 μB/atom

a b c (Å): 4.314 4.314 4.314
angles (deg): 60.00 60.00 60.00
Sites, in units of the cell vectors:
Si (0.250, 0.250, 0.250)
Si (0.750, 0.750, 0.750)
Mn (0.000, 0.000, 0.000)
Ga (0.500, 0.500, 0.500)

***

Q: Number 2 is which compound?
A: CoAgBr2

***

What did the sixth record say?
Below is a relaxed structure of MnGaSi2, with properties calculated at the PBE level.

Calculated values
- Density: 5.3 Mg/m³
- DFT total energy: -5.404 eV/atom
- D(E_F): 1.684 states/eV/f.u.
- V: 14.2 A^3/atom
- Magnetic moment: 0.494 μB/atom

a b c (Å): 4.314 4.314 4.314
angles (deg): 60.00 60.00 60.00
Sites, in units of the cell vectors:
Si (0.250, 0.250, 0.250)
Si (0.750, 0.750, 0.750)
Mn (0.000, 0.000, 0.000)
Ga (0.500, 0.500, 0.500)

***

Q: Among the records above, which one has the highest magnetic moment?
A: CoAgBr2